## AcAg2SO8 (PBE)

Data for a relaxed AcAg2SO8 crystal.

Geometry as extended XYZ:
```
12
Lattice="5.072 0.000 0.000 -2.536 4.393 0.000 0.000 0.000 6.792" Properties=species:S:1:pos:R:3 pbc="T T T"
Ac 0.000 0.000 3.396
Ag 2.536 1.464 0.993
Ag 0.000 2.928 5.799
S 0.000 0.000 0.000
O 2.536 3.062 5.806
O 1.152 0.665 5.806
O 3.920 0.665 5.806
O 0.000 1.331 0.987
O 1.384 3.727 0.987
O -1.384 3.727 0.987
O 2.536 1.464 3.080
O 0.000 2.928 3.712
```

Properties
mass density = 6.61 g/cm3
E_form (uncorrected) = -684.5 meV/atom
VASP energy = -5.1515 eV/atom
crystal system = trigonal

## Bi3PdCl (PBE)

Data for a relaxed Bi3PdCl crystal.

Geometry as extended XYZ:
```
20
Lattice="-0.645 -4.681 -5.350 7.932 -2.903 1.583 -6.622 -4.964 5.141" Properties=species:S:1:pos:R:3 pbc="T T T"
Bi 4.149 -4.658 2.670
Bi -3.484 -7.889 -1.297
Bi 0.027 -3.956 -2.208
Bi 0.638 -8.591 3.582
Bi -5.170 -5.849 4.670
Bi 5.835 -6.698 -3.297
Bi 2.702 -7.892 0.746
Bi -2.037 -4.656 0.627
Bi 4.475 -5.372 -0.773
Bi -3.810 -7.175 2.147
Bi -0.200 -2.522 2.059
Bi 0.865 -10.025 -0.685
Pd -6.022 -7.731 0.337
Pd 6.687 -4.816 1.037
Pd 3.375 -7.308 3.596
Pd -2.710 -5.239 -2.222
Cl 1.681 -4.783 0.717
Cl -1.016 -7.764 0.656
Cl 2.175 -6.151 -2.907
Cl -1.510 -6.396 4.281
```

Properties
excess energy over the best structure of this formula in the dataset = 0.000 eV per atom
mass density = 9.15 g/cm3
E_form (uncorrected) = -340.4 meV/atom
VASP energy = -4.0768 eV/atom
crystal system = monoclinic

## AcSm2Rh2 (PBE)

Data for a relaxed AcSm2Rh2 crystal.

Geometry as extended XYZ:
```
10
Lattice="3.942 -0.005 1.031 2.047 7.691 0.190 -0.378 -1.663 9.436" Properties=species:S:1:pos:R:3 pbc="T T T"
Ac 4.342 6.161 7.473
Ac 1.269 -0.138 3.184
Sm 1.193 4.028 3.473
Sm 1.751 3.771 9.342
Sm 4.418 1.994 7.184
Sm 3.860 2.252 1.315
Rh 2.517 4.080 6.412
Rh 1.990 1.105 8.407
Rh 3.094 1.943 4.245
Rh 3.621 4.918 2.250
```

Properties
excess energy over the best structure of this formula in the dataset = 0.043 eV per atom
energy of formation from the pure elements = -0.57 eV per atom
mass density = 8.49 g/cm3
VASP energy = -6.2226 eV/atom
crystal system = triclinic

## Tl2CuP (PBE)

Data for a relaxed Tl2CuP crystal.

Geometry as extended XYZ:
```
4
Lattice="-1.000 -3.834 2.654 4.624 0.533 1.040 -0.328 1.792 3.706" Properties=species:S:1:pos:R:3 pbc="T T T"
Cu -0.664 -1.021 3.180
P 2.148 1.162 2.373
Tl 0.000 0.000 0.000
Tl 1.812 -1.651 1.847
```

Properties
excess energy over the best structure of this formula in the dataset = 0.514 eV per atom
energy of formation from the pure elements = 0.48 eV per atom
mass density = 9.35 g/cm3
VASP energy = -3.0814 eV/atom
crystal system = monoclinic

## Pm3Pr3Y5 (PBE)

Data for a relaxed Pm3Pr3Y5 crystal.

Geometry as extended XYZ:
```
11
Lattice="3.514 0.000 0.000 0.000 9.767 -5.639 0.000 0.000 11.278" Properties=species:S:1:pos:R:3 pbc="T T T"
Pm 1.757 8.209 -4.739
Pm 1.757 1.559 0.900
Pm 1.757 0.000 9.479
Pr 0.000 5.865 -3.386
Pr 0.000 0.000 6.772
Pr 0.000 3.903 2.253
Y 1.757 6.512 0.000
Y 1.757 3.256 5.639
Y 1.757 3.326 -1.920
Y 1.757 6.441 3.719
Y 1.757 0.000 3.841
```

Properties
excess energy over the best structure of this formula in the dataset = 0.000 eV per atom
energy of formation from the pure elements = 0.34 eV per atom
mass density = 5.59 g/cm3
VASP energy = -5.1986 eV/atom
crystal system = hexagonal

## Y2ZrIr (PBE)

Data for a relaxed Y2ZrIr crystal.

Geometry as extended XYZ:
```
4
Lattice="-4.036 1.958 -0.816 -0.828 -0.338 3.285 1.884 5.215 3.189" Properties=species:S:1:pos:R:3 pbc="T T T"
Ir -1.226 4.636 4.447
Y 1.082 4.802 6.165
Y 0.502 2.513 3.545
Zr -1.754 2.198 1.210
```

Properties
excess energy over the best structure of this formula in the dataset = 0.292 eV per atom
energy of formation from the pure elements = -0.14 eV per atom
mass density = 8.17 g/cm3
VASP energy = -7.7277 eV/atom
crystal system = monoclinic

## HfNF (PBE)

Data for a relaxed HfNF crystal.

Geometry as extended XYZ:
```
3
Lattice="-0.780 -2.682 1.247 1.960 -1.435 -1.860 3.241 2.619 3.910" Properties=species:S:1:pos:R:3 pbc="T T T"
N 0.585 0.086 0.551
Hf 0.988 -2.000 0.068
F 2.847 0.417 2.678
```

Properties
mass density = 7.10 g/cm3
E_form (uncorrected) = -2254.2 meV/atom
VASP energy = -8.9709 eV/atom
crystal system = tetragonal

## CsLaSn2Br8 (PBE)

Data for a relaxed CsLaSn2Br8 crystal.

Geometry as extended XYZ:
```
12
Lattice="-4.290 -5.968 -1.135 2.565 -3.342 5.531 -7.361 2.763 6.103" Properties=species:S:1:pos:R:3 pbc="T T T"
Cs -3.681 1.382 3.051
La 0.000 0.000 0.000
Sn -6.352 -2.439 6.683
Sn -2.735 -4.108 3.815
Br -0.324 -2.894 5.246
Br -1.153 -6.451 3.641
Br -4.516 -5.369 1.746
Br -8.762 -3.653 5.252
Br -7.934 -0.096 6.857
Br -4.571 -1.178 8.752
Br -3.967 -4.859 6.096
Br -5.119 -1.688 4.403
```

Properties
mass density = 3.74 g/cm3
E_form (uncorrected) = -1322.2 meV/atom
VASP energy = -3.5864 eV/atom
crystal system = triclinic

## Sm2Y6Tm3Sc (PBE)

Data for a relaxed Sm2Y6Tm3Sc crystal.

Geometry as extended XYZ:
```
12
Lattice="-1.383 4.397 4.022 -1.887 -5.738 0.975 10.837 -1.777 4.122" Properties=species:S:1:pos:R:3 pbc="T T T"
Sm -1.719 -2.358 1.991
Sm -1.551 1.018 3.006
Y 5.746 -0.664 7.348
Y 0.259 -1.455 4.795
Y 1.821 -2.454 1.771
Y 5.580 -4.014 6.340
Y 7.308 -1.663 4.324
Y 1.987 0.897 2.779
Tm 3.615 -4.942 3.542
Tm 3.952 1.824 5.577
Tm 3.783 -1.559 4.560
Sc 0.000 0.000 0.000
```

Properties
energy of formation from the pure elements = 0.03 eV per atom
mass density = 6.14 g/cm3
VASP energy = -5.6305 eV/atom
crystal system = monoclinic

## Mn2Be2Al (PBE)

Data for a relaxed Mn2Be2Al crystal.

Geometry as extended XYZ:
```
5
Lattice="-1.349 -1.329 2.692 1.762 -2.741 -0.469 3.949 -0.112 3.936" Properties=species:S:1:pos:R:3 pbc="T T T"
Be 0.948 -1.654 1.671
Be 3.414 -2.528 4.488
Mn 1.403 -1.738 3.870
Mn 2.959 -2.444 2.289
Al 0.000 0.000 0.000
```

Properties
excess energy over the best structure of this formula in the dataset = 0.446 eV per atom
energy of formation from the pure elements = 0.26 eV per atom
mass density = 4.68 g/cm3
VASP energy = -5.6500 eV/atom
crystal system = tetragonal

## Pm2PrEr6 (PBE)

Data for a relaxed Pm2PrEr6 crystal.

Geometry as extended XYZ:
```
9
Lattice="-0.960 -3.086 1.245 5.879 4.903 7.011 -3.519 7.514 6.238" Properties=species:S:1:pos:R:3 pbc="T T T"
Pm 1.253 7.249 9.246
Pm 0.147 2.082 5.247
Pr 0.000 0.000 0.000
Er 1.163 -0.935 3.380
Er 3.375 9.395 11.371
Er 0.238 10.267 11.113
Er -0.858 5.099 7.119
Er -1.975 -0.064 3.122
Er 2.259 4.233 7.375
```

Properties
excess energy over the best structure of this formula in the dataset = 0.000 eV per atom
energy of formation from the pure elements = 0.08 eV per atom
mass density = 8.30 g/cm3
VASP energy = -4.5521 eV/atom
crystal system = monoclinic

## KNaH6Pt (PBE)

Data for a relaxed KNaH6Pt crystal.

Geometry as extended XYZ:
```
9
Lattice="-4.121 -0.175 3.359 0.518 -2.383 4.728 1.518 4.491 2.097" Properties=species:S:1:pos:R:3 pbc="T T T"
K -2.085 1.933 10.183
Na -1.643 0.540 6.438
H 0.280 0.574 2.511
H -0.275 2.843 2.981
H -1.168 2.214 4.974
H 0.993 1.708 4.487
H -0.605 -0.059 4.506
H -1.880 1.076 3.006
Pt -0.442 1.393 3.744
```

Properties
mass density = 3.44 g/cm3
VASP energy = -3.5089 eV/atom
crystal system = trigonal

## CeCu9Hg2 (PBE)

Data for a relaxed CeCu9Hg2 crystal.

Geometry as extended XYZ:
```
12
Lattice="-3.071 -3.481 2.175 1.845 -3.159 3.591 -2.387 3.073 7.589" Properties=species:S:1:pos:R:3 pbc="T T T"
Ce 0.000 0.000 0.000
Cu -0.818 -4.425 3.845
Cu -2.795 0.858 9.509
Cu -1.806 -1.783 6.677
Cu -1.109 -1.981 4.301
Cu -2.656 -3.735 5.397
Cu -0.180 -3.573 6.110
Cu -2.504 -1.585 9.053
Cu -3.433 0.006 7.244
Cu -0.956 0.168 7.957
Hg -2.060 -4.410 8.156
Hg -1.552 0.843 5.199
```

Properties
energy of formation from the pure elements = -0.05 eV per atom
mass density = 10.16 g/cm3
VASP energy = -3.6685 eV/atom
crystal system = trigonal

## SrNb2H (PBE)

Data for a relaxed SrNb2H crystal.

Geometry as extended XYZ:
```
8
Lattice="-5.963 -0.129 -1.418 -1.406 -0.440 5.951 -3.844 4.035 2.548" Properties=species:S:1:pos:R:3 pbc="T T T"
Sr 0.000 0.000 0.000
Sr -6.745 1.811 1.698
Nb -3.373 0.905 0.849
Nb -4.075 0.686 3.824
Nb -5.998 2.703 5.098
Nb -8.979 2.639 4.389
H -3.684 -0.284 2.266
H -4.467 1.656 5.382
```

Properties
excess energy over the best structure of this formula in the dataset = 0.000 eV per atom
mass density = 5.60 g/cm3
VASP energy = -5.9158 eV/atom
crystal system = cubic

## NaAlGaPb (PBE)

Data for a relaxed NaAlGaPb crystal.

Geometry as extended XYZ:
```
4
Lattice="-1.255 -3.407 3.592 -1.296 -4.757 -1.334 3.143 -3.890 1.039" Properties=species:S:1:pos:R:3 pbc="T T T"
Pb 0.444 -9.040 2.472
Na 0.296 -6.027 1.648
Al 0.000 0.000 0.000
Ga 0.148 -3.013 0.824
```

Properties
energy of formation from the pure elements = 0.08 eV per atom
mass density = 5.76 g/cm3
VASP energy = -2.8688 eV/atom
crystal system = cubic

## MnAu2Br (PBE)

Data for a relaxed MnAu2Br crystal.

Geometry as extended XYZ:
```
8
Lattice="8.075 0.000 0.000 0.000 8.075 0.000 4.037 4.037 2.661" Properties=species:S:1:pos:R:3 pbc="T T T"
Mn 4.037 4.037 0.000
Mn 4.037 8.075 1.331
Au 5.761 2.019 0.665
Au 2.313 6.056 0.665
Au 6.056 6.351 1.996
Au 10.093 9.799 1.996
Br 0.000 0.000 0.000
Br 8.075 4.037 1.331
```

Properties
excess energy over the best structure of this formula in the dataset = 0.251 eV per atom
mass density = 10.12 g/cm3
E_form (uncorrected) = 201.6 meV/atom
VASP energy = -4.1477 eV/atom
crystal system = tetragonal

## Tl2In2H (PBE)

Data for a relaxed Tl2In2H crystal.

Geometry as extended XYZ:
```
10
Lattice="6.547 0.000 0.000 0.000 6.547 0.000 0.000 0.000 5.944" Properties=species:S:1:pos:R:3 pbc="T T T"
H 0.000 0.000 0.000
H 3.274 3.274 0.000
Tl 2.102 5.375 0.000
Tl 5.375 4.445 0.000
Tl 4.445 1.172 0.000
Tl 1.172 2.102 0.000
In 1.112 4.386 2.972
In 4.386 5.435 2.972
In 5.435 2.162 2.972
In 2.162 1.112 2.972
```

Properties
excess energy over the best structure of this formula in the dataset = 0.032 eV per atom
mass density = 8.33 g/cm3
VASP energy = -2.4537 eV/atom
crystal system = tetragonal

## Tl2BiH2 (PBE)

Data for a relaxed Tl2BiH2 crystal.

Geometry as extended XYZ:
```
5
Lattice="-1.890 2.456 -1.569 2.231 -3.040 -3.600 -5.843 -4.332 0.256" Properties=species:S:1:pos:R:3 pbc="T T T"
Tl -1.892 -0.751 -2.741
Tl -3.610 -4.165 -2.172
Bi 0.000 0.000 0.000
H -2.603 -1.970 0.052
H -2.898 -2.946 -4.965
```

Properties
excess energy over the best structure of this formula in the dataset = 0.000 eV per atom
mass density = 8.28 g/cm3
VASP energy = -3.0013 eV/atom
crystal system = monoclinic

## MnAs2P (PBE)

Data for a relaxed MnAs2P crystal.

Geometry as extended XYZ:
```
4
Lattice="-3.168 -3.018 -1.184 3.240 -3.010 -0.998 -0.087 -1.099 3.034" Properties=species:S:1:pos:R:3 pbc="T T T"
As 0.000 0.000 0.000
As 0.036 -3.014 -1.091
Mn -1.628 -2.059 0.925
P 1.577 -2.054 1.018
```

Properties
energy of formation from the pure elements = 0.40 eV per atom
mass density = 5.90 g/cm3
VASP energy = -5.5678 eV/atom
crystal system = tetragonal

## Sr2MoRhAu (PBE)

Data for a relaxed Sr2MoRhAu crystal.

Geometry as extended XYZ:
```
5
Lattice="-4.055 3.711 1.837 -1.860 0.260 -4.633 -3.535 -4.441 1.170" Properties=species:S:1:pos:R:3 pbc="T T T"
Rh -4.725 -0.235 -0.813
Mo -0.930 0.130 -2.316
Au 0.000 0.000 0.000
Sr -1.768 -2.220 0.585
Sr -2.027 1.856 0.918
```

Properties
energy of formation from the pure elements = 0.93 eV per atom
mass density = 5.65 g/cm3
VASP energy = -4.0360 eV/atom
crystal system = tetragonal

## AcSiHPt6 (PBE)

Data for a relaxed AcSiHPt6 crystal.

Geometry as extended XYZ:
```
18
Lattice="7.818 0.000 0.000 0.000 7.422 0.000 -3.909 -3.711 5.543" Properties=species:S:1:pos:R:3 pbc="T T T"
Ac 3.909 1.855 4.637
Ac 0.000 1.855 0.906
Si 3.909 3.711 0.000
Si 3.909 0.000 0.000
H 1.955 -1.855 2.771
H -1.955 -1.855 2.771
Pt 0.000 1.855 4.090
Pt 3.909 -1.855 3.227
Pt 5.716 -0.317 1.424
Pt 2.102 4.027 1.424
Pt 2.102 -0.317 1.424
Pt 5.716 4.027 1.424
Pt 3.909 1.855 1.453
Pt 0.000 5.566 2.316
Pt -1.807 4.027 4.119
Pt 1.807 -0.317 4.119
Pt 1.807 4.027 4.119
Pt -1.807 -0.317 4.119
```

Properties
mass density = 14.73 g/cm3
VASP energy = -5.9428 eV/atom
crystal system = orthorhombic